Record 1
DFT (PBE) results for Pm2NdY8 after structural relaxation.

It has space group C2/m (No. 12), with a = 9.087 Å, b = 16.102 Å, c = 5.941 Å, α = 90.00°, β = 121.82° and γ = 90.00°. The asymmetric unit holds Pm at (0.000, 0.194, 0.000), Nd at (0.000, 0.500, 0.500), Y at (0.000, 0.290, 0.500), Y at (0.076, 0.000, 0.296) and Y at (0.214, 0.384, 0.167).



Record 2
DFT (PBE) results for Pm2Nd4Y3 after structural relaxation.

It has space group C2/c (No. 15), with a = 16.529 Å, b = 11.873 Å, c = 6.266 Å, α = 90.00°, β = 96.28° and γ = 90.00°. The asymmetric unit holds Pm at (0.118, 0.139, 0.318), Nd at (0.048, 0.360, 0.015), Nd at (0.215, 0.140, 0.848), Y at (0.000, 0.102, 0.750) and Y at (0.167, 0.398, 0.582).

As for the excess energy over the best structure of this formula in the dataset: 0.066 eV per atom.



no.,DFT total energy (eV/f.u.)
1,-64.3
2,-47.2